Arrangement 1

Here is AgSb2Au at its PBEsol-relaxed geometry from Alexandria via LeMat-Bulk. Energies are from SCAN.

Results
- M_tot (μB per atom) = 0.000

a = 7.0457 Å, b = 7.0457 Å, c = 7.0457 Å
α = 90.00°, β = 90.00°, γ = 90.00°
Closest atoms and distances in Å follow each position.
Space group F-43m (No. 216)
Asymmetric unit:
Ag 0.0000 0.0000 0.0000 (multiplicity 4)  4 Sb 3.05, 4 Au 3.05
Sb 0.0000 0.0000 0.5000 (multiplicity 4)  4 Sb 3.05, 4 Au 3.05
Sb 0.2500 0.2500 0.7500 (multiplicity 4)  4 Sb 3.05, 4 Ag 3.05
Au 0.2500 0.2500 0.2500 (multiplicity 4)  4 Sb 3.05, 4 Ag 3.05


Arrangement 2

Here is AgSb2Au at its PBEsol-relaxed geometry from Alexandria via LeMat-Bulk. Energies are from SCAN.

Results
- M_tot (μB per atom) = 0.000

a = 4.2361 Å, b = 3.8127 Å, c = 5.6611 Å
α = 90.00°, β = 108.01°, γ = 90.00°
Closest atoms and distances in Å follow each position.
Space group Pm (No. 6)
Asymmetric unit:
Ag 0.0000 0.0000 0.0000 (multiplicity 1)  6 Sb 2.84-2.93, 2 Au 2.88
Sb 0.4679 0.5000 0.8974 (multiplicity 1)  2 Au 2.82-2.94, 4 Ag 2.87-2.93
Sb 0.8610 0.0000 0.4762 (multiplicity 1)  2 Ag 2.84-2.93, 4 Au 2.86-2.94
Au 0.3322 0.5000 0.3767 (multiplicity 1)  6 Sb 2.82-2.94, 2 Ag 2.88


Arrangement 3

Here is AgSb2Au at its PBEsol-relaxed geometry from Alexandria via LeMat-Bulk. Energies are from SCAN.

Results
- M_tot (μB per atom) = 0.000

a = 6.9912 Å, b = 6.9912 Å, c = 6.9912 Å
α = 90.00°, β = 90.00°, γ = 90.00°
Closest atoms and distances in Å follow each position.
Space group Fm-3m (No. 225)
Asymmetric unit:
Ag 0.0000 0.0000 0.0000 (multiplicity 4)  8 Sb 3.03
Sb 0.2500 0.2500 0.2500 (multiplicity 8)  4 Ag 3.03, 4 Au 3.03
Au 0.0000 0.0000 0.5000 (multiplicity 4)  8 Sb 3.03


It is arrangement 1 that is the least stable of them.